[1]
Compound: HfBeV
Source: the Alexandria database
Functional: PBE-GGA
Structure: relaxed

a b c (Å): 5.1650 5.0841 5.0841
angles (deg): 53.96 59.47 59.47
Closest atoms and distances in Å follow each position.
Sites, in units of the cell vectors:
V 0.5000 0.5000 0.0000  2 V 2.31, 4 Be 2.54
Be 0.0000 0.0000 0.0000  4 V 2.54, 2 Be 2.58, 4 Hf 2.77
Hf 0.8629 0.3871 0.3871  4 Be 2.77, 6 V 2.94-3.01, 4 Hf 3.08
V 0.5000 0.0000 0.5000  2 V 2.31, 4 Be 2.54
Be 0.5000 0.0000 0.0000  4 V 2.54, 2 Be 2.58, 4 Hf 2.77
Hf 0.1371 0.6129 0.6129  4 Be 2.77, 6 V 2.94-3.01, 4 Hf 3.08

Energy of formation (kJ/mol of atoms): -3.8
Energy above the lowest structure with this stoichiometry (meV per atom): 0
D(E_F) (states/eV/f.u.): 2.9
Total moment (μB/cell): 0.0
Electronic total energy (eV per atom): -7.639



[2]
Compound: HfBe10V
Source: the Alexandria database
Functional: PBE-GGA
Structure: relaxed

a b c (Å): 3.3997 4.3950 7.6310
angles (deg): 90.00 90.00 90.00
Closest atoms and distances in Å follow each position.
Sites, in units of the cell vectors:
Be 0.5000 0.2471 0.7600  8 Be 2.10-2.26
Be 0.5000 0.5000 0.0000  8 Be 2.06-2.14
V 0.0000 0.0000 0.0000  6 Be 2.43-2.49
Hf 0.0000 0.5000 0.5000  18 Be 2.60-2.84
Be 0.0000 0.5000 0.1532  6 Be 2.06-2.14
Be 0.0000 0.5000 0.8468  6 Be 2.06-2.14
Be 0.0000 0.0000 0.6815  6 Be 2.10-2.19
Be 0.5000 0.7529 0.7600  8 Be 2.10-2.26
Be 0.5000 0.0000 0.5000  8 Be 2.19-2.26
Be 0.5000 0.2471 0.2400  8 Be 2.10-2.26
Be 0.5000 0.7529 0.2400  8 Be 2.10-2.26
Be 0.0000 0.0000 0.3185  6 Be 2.10-2.19

Energy of formation (kJ/mol of atoms): -16.6
D(E_F) (states/eV/f.u.): 4.2
Total moment (μB/cell): 0.3
Electronic total energy (eV per atom): -4.866



[3]
Compound: HfBe2V
Source: the Alexandria database
Functional: PBE-GGA
Structure: relaxed

a b c (Å): 4.2028 4.2028 4.2028
angles (deg): 60.00 60.00 60.00
Closest atoms and distances in Å follow each position.
Sites, in units of the cell vectors:
Be 0.2500 0.2500 0.2500  4 V 2.57, 4 Hf 2.57
Be 0.7500 0.7500 0.7500  4 Hf 2.57, 4 V 2.57
V 0.5000 0.5000 0.5000  8 Be 2.57
Hf 0.0000 0.0000 0.0000  8 Be 2.57

Energy of formation (kJ/mol of atoms): 2.8
Energy above the lowest structure with this stoichiometry (meV per atom): 37
D(E_F) (states/eV/f.u.): 3.4
Total moment (μB/cell): 1.1
Electronic total energy (eV per atom): -6.602



[4]
Compound: HfBe2V2
Source: the Alexandria database
Functional: PBE-GGA
Structure: relaxed

a b c (Å): 3.8159 3.8159 5.4357
angles (deg): 69.45 69.45 90.00
Closest atoms and distances in Å follow each position.
Sites, in units of the cell vectors:
Be 0.2500 0.7500 0.5000  4 V 2.27
Hf 0.0000 0.0000 0.0000  8 V 2.92, 8 Be 3.03
V 0.6196 0.6196 0.7608  1 V 2.26, 4 Be 2.27
V 0.3804 0.3804 0.2392  1 V 2.26, 4 Be 2.27
Be 0.7500 0.2500 0.5000  4 V 2.27

Energy of formation (kJ/mol of atoms): 29.8
Energy above the lowest structure with this stoichiometry (meV per atom): 273
D(E_F) (states/eV/f.u.): 3.6
Total moment (μB/cell): 0.0
Electronic total energy (eV per atom): -6.820



- electronic total energy of number 1 (HfBeV)?
  -7.639 eV per atom



- Which formula does entry 2 have?
  HfBe10V



- Number 1 is which compound?
  HfBeV